Density functional theory data (PBE with a Hubbard U) for a relaxed structure of Na2VB2O6. Values from VASP.

Geometry as Quantum ESPRESSO input:
```
&SYSTEM
  ibrav = 0, nat = 11, ntyp = 4
/
ATOMIC_SPECIES
Na 22.99 Na.upf
V 50.94 V.upf
B 10.81 B.upf
O 16.00 O.upf
ATOMIC_POSITIONS crystal
Na 0.667 0.333 0.674
Na 0.333 0.667 0.326
V 0.000 0.000 0.000
B 0.333 0.667 0.819
B 0.667 0.333 0.181
O 0.115 0.360 0.806
O 0.640 0.755 0.806
O 0.245 0.885 0.806
O 0.885 0.640 0.194
O 0.360 0.245 0.194
O 0.755 0.115 0.194
CELL_PARAMETERS angstrom
-1.362 -2.962 -3.844
4.685 1.845 0.223
1.717 -4.726 3.033
```

Output
Theoretical density in g cm⁻³: 2.76
E_tot in eV per atom: -6.9630
Space-group type: No. 147
Total magnetization in μB per atom: 0.0909

Density functional theory data (PBE with a Hubbard U) for a relaxed structure of Na3VB2O6. Values from VASP.

Geometry as Quantum ESPRESSO input:
```
&SYSTEM
  ibrav = 0, nat = 48, ntyp = 4
/
ATOMIC_SPECIES
Na 22.99 Na.upf
V 50.94 V.upf
B 10.81 B.upf
O 16.00 O.upf
ATOMIC_POSITIONS crystal
Na 0.938 0.485 0.377
Na 0.625 0.452 0.377
Na 0.950 0.960 0.873
Na 0.125 0.548 0.123
Na 0.450 0.040 0.627
Na 0.438 0.515 0.123
Na 0.562 0.485 0.877
Na 0.550 0.960 0.373
Na 0.875 0.452 0.877
Na 0.050 0.040 0.127
Na 0.375 0.548 0.623
Na 0.062 0.515 0.623
V 0.283 0.035 0.876
V 0.783 0.965 0.624
V 0.217 0.035 0.376
V 0.717 0.965 0.124
B 0.298 0.466 0.381
B 0.637 0.965 0.866
B 0.798 0.534 0.119
B 0.137 0.035 0.634
B 0.863 0.965 0.366
B 0.202 0.466 0.881
B 0.363 0.035 0.134
B 0.702 0.534 0.619
O 0.303 0.892 0.073
O 0.664 0.320 0.595
O 0.897 0.742 0.101
O 0.232 0.162 0.688
O 0.989 0.077 0.640
O 0.663 0.579 0.158
O 0.163 0.421 0.342
O 0.489 0.923 0.860
O 0.732 0.838 0.812
O 0.397 0.258 0.399
O 0.803 0.108 0.427
O 0.164 0.680 0.905
O 0.836 0.320 0.095
O 0.197 0.892 0.573
O 0.603 0.742 0.601
O 0.268 0.162 0.188
O 0.511 0.077 0.140
O 0.837 0.579 0.658
O 0.337 0.421 0.842
O 0.011 0.923 0.360
O 0.768 0.838 0.312
O 0.103 0.258 0.899
O 0.336 0.680 0.405
O 0.697 0.108 0.927
CELL_PARAMETERS angstrom
9.194 0.000 0.000
0.000 5.572 -0.029
0.000 4.869 10.418
```

Output
Theoretical density in g cm⁻³: 2.95
E_tot in eV per atom: -6.6818
Space-group type: No. 14
Total magnetization in μB per atom: 0.1667

Density functional theory data (PBE with a Hubbard U) for a relaxed structure of Na3VB6O13. Values from VASP.

Geometry as Quantum ESPRESSO input:
```
&SYSTEM
  ibrav = 0, nat = 92, ntyp = 4
/
ATOMIC_SPECIES
Na 22.99 Na.upf
V 50.94 V.upf
B 10.81 B.upf
O 16.00 O.upf
ATOMIC_POSITIONS crystal
Na 0.730 0.295 0.240
Na 0.768 0.272 0.742
Na 0.127 0.497 0.524
Na 0.230 0.205 0.760
Na 0.627 0.003 0.476
Na 0.270 0.795 0.260
Na 0.732 0.728 0.242
Na 0.770 0.705 0.740
Na 0.232 0.772 0.758
Na 0.268 0.228 0.258
Na 0.873 0.997 0.976
Na 0.373 0.503 0.024
V 0.050 0.518 0.244
V 0.950 0.018 0.256
V 0.550 0.982 0.756
V 0.450 0.482 0.744
B 0.025 0.129 0.574
B 0.403 0.502 0.279
B 0.024 0.870 0.574
B 0.795 0.724 0.495
B 0.903 0.998 0.721
B 0.525 0.371 0.426
B 0.217 0.998 0.441
B 0.097 0.498 0.779
B 0.524 0.630 0.426
B 0.290 0.224 0.502
B 0.476 0.130 0.074
B 0.210 0.776 0.002
B 0.976 0.370 0.926
B 0.710 0.724 0.998
B 0.783 0.498 0.059
B 0.790 0.276 0.498
B 0.295 0.776 0.505
B 0.475 0.871 0.074
B 0.975 0.629 0.926
B 0.597 0.002 0.221
B 0.283 0.002 0.941
B 0.717 0.502 0.559
B 0.705 0.276 0.995
B 0.205 0.224 0.005
O 0.188 0.880 0.935
O 0.884 0.164 0.505
O 0.121 0.339 0.993
O 0.537 0.117 0.183
O 0.337 0.888 0.451
O 0.879 0.839 0.507
O 0.163 0.112 0.951
O 0.599 0.500 0.463
O 0.341 0.226 0.074
O 0.621 0.161 0.007
O 0.616 0.836 0.005
O 0.099 0.000 0.537
O 0.882 0.476 0.155
O 0.221 0.499 0.701
O 0.038 0.614 0.818
O 0.538 0.077 0.651
O 0.382 0.024 0.845
O 0.520 0.829 0.716
O 0.463 0.617 0.317
O 0.901 0.500 0.963
O 0.812 0.380 0.565
O 0.312 0.120 0.435
O 0.837 0.724 0.924
O 0.337 0.776 0.076
O 0.663 0.388 0.049
O 0.116 0.664 0.995
O 0.538 0.886 0.182
O 0.163 0.224 0.576
O 0.688 0.620 0.065
O 0.037 0.383 0.817
O 0.779 0.999 0.799
O 0.618 0.524 0.655
O 0.962 0.923 0.151
O 0.480 0.329 0.784
O 0.038 0.423 0.349
O 0.837 0.612 0.549
O 0.963 0.883 0.683
O 0.663 0.276 0.424
O 0.384 0.336 0.495
O 0.279 0.501 0.201
O 0.462 0.386 0.318
O 0.980 0.171 0.216
O 0.721 0.001 0.299
O 0.462 0.577 0.849
O 0.841 0.274 0.926
O 0.379 0.661 0.493
O 0.118 0.976 0.345
O 0.401 0.000 0.037
O 0.159 0.774 0.574
O 0.659 0.726 0.426
O 0.020 0.671 0.284
O 0.962 0.114 0.682
CELL_PARAMETERS angstrom
7.784 0.000 0.000
0.000 10.335 0.000
0.000 0.000 12.841
```

Output
Theoretical density in g cm⁻³: 2.53
E_tot in eV per atom: -7.3416
Space-group type: No. 19
Total magnetization in μB per atom: 0.0000

Density functional theory data (PBE with a Hubbard U) for a relaxed structure of NaVBO4. Values from VASP.

Geometry as Quantum ESPRESSO input:
```
&SYSTEM
  ibrav = 0, nat = 14, ntyp = 4
/
ATOMIC_SPECIES
Na 22.99 Na.upf
V 50.94 V.upf
B 10.81 B.upf
O 16.00 O.upf
ATOMIC_POSITIONS crystal
Na 0.500 0.500 0.500
Na 0.500 0.500 0.000
V 0.859 0.141 0.250
V 0.141 0.859 0.750
B 0.131 0.869 0.250
B 0.869 0.131 0.750
O 0.169 0.212 0.750
O 0.788 0.831 0.750
O 0.775 0.225 0.962
O 0.775 0.225 0.538
O 0.225 0.775 0.038
O 0.225 0.775 0.462
O 0.831 0.788 0.250
O 0.212 0.169 0.250
CELL_PARAMETERS angstrom
-4.718 -1.161 -2.303
3.787 -3.533 -1.447
-1.391 -3.350 4.539
```

Output
Theoretical density in g cm⁻³: 3.15
E_tot in eV per atom: -7.0697
Space-group type: No. 63
Total magnetization in μB per atom: 0.1429

Density functional theory data (PBE with a Hubbard U) for a relaxed structure of Na2VBO4. Values from VASP.

Geometry as Quantum ESPRESSO input:
```
&SYSTEM
  ibrav = 0, nat = 8, ntyp = 4
/
ATOMIC_SPECIES
Na 22.99 Na.upf
V 50.94 V.upf
B 10.81 B.upf
O 16.00 O.upf
ATOMIC_POSITIONS crystal
Na 0.000 0.500 0.500
Na 0.500 0.500 0.500
V 0.000 0.000 0.000
B 0.500 0.000 0.000
O 0.167 0.288 0.000
O 0.833 0.000 0.712
O 0.545 0.000 0.288
O 0.455 0.712 0.000
CELL_PARAMETERS angstrom
5.006 0.000 0.000
2.503 4.114 0.000
2.503 0.000 4.114
```

Output
Theoretical density in g cm⁻³: 3.37
E_tot in eV per atom: -6.4068
Space-group type: No. 121
Total magnetization in μB per atom: 0.2500

Q: Which formula does entry 3 have?
A: Na3VB6O13

What did the fifth record say?
Density functional theory data (PBE with a Hubbard U) for a relaxed structure of Na2VBO4. Values from VASP.

Geometry as Quantum ESPRESSO input:
```
&SYSTEM
  ibrav = 0, nat = 8, ntyp = 4
/
ATOMIC_SPECIES
Na 22.99 Na.upf
V 50.94 V.upf
B 10.81 B.upf
O 16.00 O.upf
ATOMIC_POSITIONS crystal
Na 0.000 0.500 0.500
Na 0.500 0.500 0.500
V 0.000 0.000 0.000
B 0.500 0.000 0.000
O 0.167 0.288 0.000
O 0.833 0.000 0.712
O 0.545 0.000 0.288
O 0.455 0.712 0.000
CELL_PARAMETERS angstrom
5.006 0.000 0.000
2.503 4.114 0.000
2.503 0.000 4.114
```

Output
Theoretical density in g cm⁻³: 3.37
E_tot in eV per atom: -6.4068
Space-group type: No. 121
Total magnetization in μB per atom: 0.2500

Q: Which formula does entry 3 have?
A: Na3VB6O13